Entry 1:
The following is a PBE-GGA calculation of a relaxed Rb2ScAlO4 crystal, from Alexandria.

Geometry as POSCAR:
```
Rb2ScAlO4
1.0
-0.222 -3.154 4.187
5.467 -3.799 0.715
4.454 6.131 8.141
O Sc Rb Al
8 2 4 2
Direct
0.601 0.164 0.084
0.901 0.664 0.584
0.435 0.664 0.416
0.149 0.336 0.416
0.235 0.164 0.916
0.849 0.836 0.916
0.515 0.336 0.584
0.315 0.836 0.084
0.750 0.500 0.500
0.000 0.000 0.000
0.573 0.500 0.854
0.927 0.500 0.146
0.823 0.000 0.354
0.177 0.000 0.646
0.500 0.000 0.000
0.250 0.500 0.500
```

crystal system = orthorhombic
total moment = 0.0 μB per formula unit
theoretical density = 2.92 g/cm3
symmetry = No. 70
calculated total energy = -6.36 eV per atom
formation energy from raw total energies = -19.03 eV/f.u.

=====

Entry 2:
The following is a PBE-GGA calculation of a relaxed RbAlSe2O8 crystal, from Alexandria.

Geometry as POSCAR:
```
RbAlSe2O8
1.0
-4.584 1.931 0.492
1.140 -2.737 -4.024
-2.610 -7.267 4.204
O Se Al Rb
8 2 1 1
Direct
0.333 0.667 0.878
0.042 0.325 0.630
0.717 0.042 0.370
0.958 0.675 0.370
0.675 0.717 0.630
0.667 0.333 0.122
0.283 0.958 0.630
0.325 0.283 0.370
0.333 0.667 0.690
0.667 0.333 0.310
0.000 0.000 0.500
0.000 0.000 0.000
```

crystal system = trigonal
total moment = 0.0 μB per formula unit
theoretical density = 3.48 g/cm3
symmetry = No. 147
calculated total energy = -5.63 eV per atom
formation energy from raw total energies = -16.25 eV/f.u.

=====

Entry 3:
The following is a PBE-GGA calculation of a relaxed RbAlSiO4 crystal, from Alexandria.

Geometry as POSCAR:
```
RbAlSiO4
1.0
-1.887 -2.359 4.452
-7.107 -2.873 -4.534
4.578 -7.836 -2.211
O Si Al Rb
16 4 4 4
Direct
0.237 0.244 0.538
0.737 0.756 0.462
0.089 0.254 0.243
0.012 0.010 0.089
0.089 0.754 0.257
0.512 0.490 0.589
0.737 0.256 0.038
0.718 0.745 0.031
0.218 0.255 0.969
0.237 0.744 0.962
0.718 0.245 0.469
0.218 0.755 0.531
0.589 0.746 0.757
0.512 0.990 0.911
0.589 0.246 0.743
0.012 0.510 0.411
0.512 0.808 0.915
0.012 0.692 0.415
0.012 0.192 0.085
0.512 0.308 0.585
0.511 0.185 0.916
0.011 0.815 0.084
0.511 0.685 0.584
0.011 0.315 0.416
0.488 0.501 0.199
0.488 0.001 0.301
0.988 0.999 0.699
0.988 0.499 0.801
```

crystal system = orthorhombic
total moment = 0.0 μB per formula unit
theoretical density = 3.04 g/cm3
symmetry = No. 33
calculated total energy = -7.07 eV per atom
formation energy from raw total energies = -19.52 eV/f.u.

=====

Entry 4:
The following is a PBE-GGA calculation of a relaxed RbAlSi2O crystal, from Alexandria.

Geometry as POSCAR:
```
RbAlSi2O
1.0
-0.488 3.126 -3.356
-6.493 -2.923 -1.778
-2.094 2.850 2.960
Al Si Rb O
1 2 1 1
Direct
0.000 0.000 0.000
0.000 0.000 0.500
0.500 0.000 0.000
0.000 0.500 0.000
0.500 0.500 0.500
```

crystal system = tetragonal
total moment = 0.0 μB per formula unit
theoretical density = 1.96 g/cm3
symmetry = No. 123
calculated total energy = -3.27 eV per atom
formation energy from raw total energies = 4.15 eV/f.u.

=====

Entry 5:
The following is a PBE-GGA calculation of a relaxed RbAlSi2O6 crystal, from Alexandria.

Geometry as POSCAR:
```
RbAlSi2O6
1.0
5.513 -0.016 -0.016
1.744 7.284 -0.595
1.744 -0.864 7.257
O Si Al Rb
12 4 2 2
Direct
0.966 0.409 0.720
0.238 0.306 0.978
0.262 0.022 0.694
0.034 0.591 0.280
0.466 0.720 0.409
0.534 0.280 0.591
0.762 0.694 0.022
0.889 0.274 0.269
0.611 0.731 0.726
0.389 0.269 0.274
0.738 0.978 0.306
0.111 0.726 0.731
0.866 0.632 0.795
0.634 0.205 0.368
0.366 0.795 0.632
0.134 0.368 0.205
0.750 0.739 0.261
0.250 0.261 0.739
0.250 0.883 0.117
0.750 0.117 0.883
```

crystal system = monoclinic
total moment = 0.0 μB per formula unit
theoretical density = 3.04 g/cm3
symmetry = No. 15
calculated total energy = -7.23 eV per atom
formation energy from raw total energies = -27.04 eV/f.u.

=====

Entry 6:
The following is a PBE-GGA calculation of a relaxed Rb2SmAlO4 crystal, from Alexandria.

Geometry as POSCAR:
```
Rb2SmAlO4
1.0
-0.924 4.587 3.210
-3.751 -1.213 5.670
9.432 0.043 7.669
Rb O Al Sm
4 8 2 2
Direct
0.190 0.000 0.620
0.940 0.500 0.120
0.810 0.000 0.380
0.560 0.500 0.880
0.501 0.327 0.575
0.348 0.827 0.075
0.578 0.173 0.075
0.826 0.827 0.925
0.924 0.673 0.575
0.172 0.327 0.425
0.402 0.673 0.425
0.249 0.173 0.925
0.500 0.000 0.000
0.250 0.500 0.500
0.000 0.000 0.000
0.750 0.500 0.500
```

crystal system = orthorhombic
total moment = 0.0 μB per formula unit
theoretical density = 3.24 g/cm3
symmetry = No. 70
calculated total energy = -5.95 eV per atom
formation energy from raw total energies = -17.34 eV/f.u.